Record 1
First-principles (GGA-PBE) data for a geometry-optimized P2PtSe structure, as listed in Alexandria via LeMat-Bulk.

abc: 3.866 3.866 6.884
angles: 114.14 114.14 52.39
Fractional positions:
P1 0.108 0.108 0.308
P2 0.892 0.892 0.692
Pt1 0.500 0.500 0.500
Se1 0.500 0.500 0.000

Values from the calculation:
- Formation energy from raw total energies: -0.1056 eV/atom
- Space-group type: C2/m

***

Record 2
First-principles (GGA-PBE) data for a geometry-optimized P2PtSe structure, as listed in Alexandria via LeMat-Bulk.

abc: 6.064 6.064 6.064
angles: 145.07 143.55 51.37
Fractional positions:
P1 0.000 0.000 0.000
P2 0.628 0.128 0.500
Pt1 0.470 0.470 0.000
Se1 0.303 0.803 0.500

Values from the calculation:
- Formation energy from raw total energies: 0.1452 eV/atom
- Space-group type: Imm2

***

Record 3
First-principles (GGA-PBE) data for a geometry-optimized P2PtSe structure, as listed in Alexandria via LeMat-Bulk.

abc: 2.901 2.901 8.907
angles: 90.00 90.00 113.00
Fractional positions:
P1 0.000 0.000 0.000
P2 0.500 0.500 0.191
Pt1 0.000 0.000 0.405
Se1 0.500 0.500 0.657

Values from the calculation:
- Formation energy from raw total energies: 0.4448 eV/atom
- Space-group type: Cmm2

***

Record 4
First-principles (GGA-PBE) data for a geometry-optimized P2PtSe structure, as listed in Alexandria via LeMat-Bulk.

abc: 4.527 3.543 4.595
angles: 90.00 108.26 90.00
Fractional positions:
P1 0.229 0.000 0.179
P2 0.771 0.000 0.821
Pt1 0.500 0.500 0.000
Se1 0.000 0.500 0.500

Values from the calculation:
- Formation energy from raw total energies: -0.1089 eV/atom
- Space-group type: P2/m

***

Record 5
First-principles (GGA-PBE) data for a geometry-optimized P2PtSe structure, as listed in Alexandria via LeMat-Bulk.

abc: 3.474 3.474 5.707
angles: 90.00 90.00 90.00
Fractional positions:
P1 0.000 0.000 0.193
P2 0.000 0.000 0.807
Pt1 0.500 0.500 0.000
Se1 0.500 0.500 0.500

Values from the calculation:
- Formation energy from raw total energies: 0.3315 eV/atom
- Space-group type: P4/mmm

***

Record 6
First-principles (GGA-PBE) data for a geometry-optimized P2PtSe structure, as listed in Alexandria via LeMat-Bulk.

abc: 6.401 6.401 6.401
angles: 32.32 32.32 32.32
Fractional positions:
P1 0.000 0.000 0.000
P2 0.259 0.259 0.259
Pt1 0.742 0.742 0.742
Se1 0.501 0.501 0.501

Values from the calculation:
- Formation energy from raw total energies: -0.0195 eV/atom
- Space-group type: R3m

***

Record 7
First-principles (GGA-PBE) data for a geometry-optimized P2PtSe structure, as listed in Alexandria via LeMat-Bulk.

abc: 2.701 3.646 8.201
angles: 90.00 90.00 90.00
Fractional positions:
P1 0.000 0.000 0.000
P2 0.500 0.500 0.407
Pt1 0.000 0.000 0.284
Se1 0.500 0.500 0.684

Values from the calculation:
- Formation energy from raw total energies: 0.2374 eV/atom
- Space-group type: Pmm2

***

Record 8
First-principles (GGA-PBE) data for a geometry-optimized P2PtSe structure, as listed in Alexandria via LeMat-Bulk.

abc: 4.461 3.656 5.020
angles: 90.00 96.27 90.00
Fractional positions:
P1 0.000 0.000 0.000
P2 0.311 0.500 0.054
Pt1 0.490 0.000 0.797
Se1 0.610 0.500 0.460

Values from the calculation:
- Formation energy from raw total energies: -0.0446 eV/atom
- Space-group type: Pm

***

Record 9
First-principles (GGA-PBE) data for a geometry-optimized P3PtSe structure, as listed in Alexandria via LeMat-Bulk.

abc: 4.704 4.704 4.704
angles: 90.00 90.00 90.00
Fractional positions:
P1 0.000 0.000 0.500
P2 0.000 0.500 0.000
P3 0.500 0.000 0.000
Pt1 0.000 0.000 0.000
Se1 0.500 0.500 0.500

Values from the calculation:
- Formation energy from raw total energies: 0.8499 eV/atom
- E above lowest polymorph: 0 meV per atom
- Space-group type: Pm-3m

***

Record 10
First-principles (GGA-PBE) data for a geometry-optimized Sm4PPtSe2 structure, as listed in Alexandria via LeMat-Bulk.

abc: 7.257 4.112 7.285
angles: 90.00 108.95 90.00
Fractional positions:
Sm1 0.240 0.000 0.235
Sm2 0.254 0.500 0.766
Sm3 0.746 0.500 0.234
Sm4 0.760 0.000 0.765
P1 0.000 0.500 0.000
Pt1 0.500 0.000 0.000
Se1 0.000 0.000 0.500
Se2 0.500 0.500 0.500

Values from the calculation:
- Formation energy from raw total energies: -1.5851 eV/atom
- Space-group type: P2/m

***

Record 11
First-principles (GGA-PBE) data for a geometry-optimized Sm8P3PtSe4 structure, as listed in Alexandria via LeMat-Bulk.

abc: 8.347 8.347 8.347
angles: 59.54 59.54 59.54
Fractional positions:
Sm1 0.242 0.746 0.746
Sm2 0.243 0.243 0.243
Sm3 0.254 0.254 0.758
Sm4 0.254 0.758 0.254
Sm5 0.746 0.242 0.746
Sm6 0.746 0.746 0.242
Sm7 0.757 0.757 0.757
Sm8 0.758 0.254 0.254
P1 0.000 0.000 0.500
P2 0.000 0.500 0.000
P3 0.500 0.000 0.000
Pt1 0.500 0.500 0.500
Se1 0.000 0.000 0.000
Se2 0.000 0.500 0.500
Se3 0.500 0.000 0.500
Se4 0.500 0.500 0.000

Values from the calculation:
- Formation energy from raw total energies: -1.6817 eV/atom
- Space-group type: R-3m

***

Record 12
First-principles (GGA-PBE) data for a geometry-optimized Sm6PPt2Se3 structure, as listed in Alexandria via LeMat-Bulk.

abc: 9.479 9.479 8.515
angles: 105.08 105.08 24.98
Fractional positions:
Sm1 0.004 0.004 0.240
Sm2 0.331 0.331 0.420
Sm3 0.337 0.337 0.899
Sm4 0.663 0.663 0.101
Sm5 0.669 0.669 0.580
Sm6 0.996 0.996 0.760
P1 0.500 0.500 0.000
Pt1 0.168 0.168 0.341
Pt2 0.832 0.832 0.659
Se1 0.163 0.163 0.842
Se2 0.500 0.500 0.500
Se3 0.837 0.837 0.158

Values from the calculation:
- Formation energy from raw total energies: -1.5420 eV/atom
- Space-group type: C2/m

***

Record 13
First-principles (GGA-PBE) data for a geometry-optimized SnPPt2Se structure, as listed in Alexandria via LeMat-Bulk.

abc: 4.481 4.481 5.463
angles: 90.00 90.00 90.00
Fractional positions:
Sn1 0.000 0.000 0.000
P1 0.500 0.500 0.500
Pt1 0.000 0.500 0.500
Pt2 0.500 0.000 0.500
Se1 0.500 0.500 0.000

Values from the calculation:
- Formation energy from raw total energies: 0.1019 eV/atom
- Space-group type: P4/mmm

***

Record 14
First-principles (GGA-PBE) data for a geometry-optimized SrP2PtSe8 structure, as listed in Alexandria via LeMat-Bulk.

abc: 6.190 6.190 9.073
angles: 90.00 90.00 120.00
Fractional positions:
Sr1 0.000 0.000 0.000
P1 0.333 0.667 0.738
P2 0.667 0.333 0.262
Pt1 0.000 0.000 0.500
Se1 0.023 0.696 0.321
Se2 0.304 0.327 0.321
Se3 0.327 0.023 0.679
Se4 0.333 0.667 0.978
Se5 0.667 0.333 0.022
Se6 0.673 0.977 0.321
Se7 0.696 0.673 0.679
Se8 0.977 0.304 0.679

Values from the calculation:
- Formation energy from raw total energies: -0.3854 eV/atom
- Space-group type: P-3

***

Quick rundown of calculated volume, same order as above: 18.14; 18.86; 17.25; 17.50; 17.22; 16.66; 20.19; 20.35; 20.82; 25.70; 25.43; 25.95; 21.94; 25.09 Å³/atom